Entry 1:
Compound: NbCuPdPb2
Source: the Alexandria database
Functional: PBEsol
Structure: relaxed

energy of formation from the pure elements: 0.90 eV/atom

Lattice parameters (Å, degrees): 4.9068 4.9068 4.5746 90.00 90.00 90.00
Space group P4/mmm (No. 123)
One atom of each set of equivalent atoms:
Nb 0.0000 0.0000 0.0000
Cu 0.5000 0.5000 0.5000
Pd 0.5000 0.5000 0.0000
Pb 0.0000 0.5000 0.5000

***

Entry 2:
Compound: TlIO4
Source: the Alexandria database
Functional: PBEsol
Structure: relaxed

raw formation energy: -0.319 eV per atom

Lattice parameters (Å, degrees): 5.8426 5.8426 12.5076 90.00 90.00 90.00
Space group I4_1/a (No. 88, origin choice 2)
One atom of each set of equivalent atoms:
Tl 0.0000 0.2500 0.1250
I 0.0000 0.2500 0.6250
O 0.1342 0.4663 0.7058

***

Entry 3:
Compound: MnCdAsBr2
Source: the Alexandria database
Functional: PBEsol
Structure: relaxed

raw formation energy: 0.091 eV per atom

Lattice parameters (Å, degrees): 4.9448 4.9448 4.9069 90.00 90.00 90.00
Space group P4/mmm (No. 123)
One atom of each set of equivalent atoms:
Mn 0.0000 0.0000 0.0000
Cd 0.5000 0.5000 0.5000
As 0.0000 0.0000 0.5000
Br 0.0000 0.5000 0.0000

***

Entry 4:
Compound: Zn2AgPt
Source: the Alexandria database
Functional: PBEsol
Structure: relaxed

energy of formation from the pure elements: -0.31 eV/atom

Lattice parameters (Å, degrees): 2.8259 2.8259 7.2894 90.00 90.00 90.00
Space group P4/mmm (No. 123)
One atom of each set of equivalent atoms:
Zn 0.0000 0.0000 0.2374
Ag 0.5000 0.5000 0.5000
Pt 0.5000 0.5000 0.0000

***

Entry 5:
Compound: Sr2AlIn
Source: the Alexandria database
Functional: PBEsol
Structure: relaxed

ΔE to the lowest computed polymorph: 0.026 eV/atom
energy of formation from the pure elements: -0.27 eV/atom

Lattice parameters (Å, degrees): 3.9472 3.9472 7.8736 90.00 90.00 90.00
Space group P4/mmm (No. 123)
One atom of each set of equivalent atoms:
Sr 0.0000 0.0000 0.2416
Al 0.5000 0.5000 0.0000
In 0.5000 0.5000 0.5000

***

Entry 6:
Compound: Sb2H2Au
Source: the Alexandria database
Functional: PBEsol
Structure: relaxed

energy: -3.71 eV per atom

Lattice parameters (Å, degrees): 7.0319 7.0319 3.9627 90.00 90.00 90.00
Space group P4/mbm (No. 127)
One atom of each set of equivalent atoms:
Sb 0.1458 0.3542 0.0000
H 0.1374 0.3626 0.5000
Au 0.0000 0.0000 0.0000

***

Entry 7:
Compound: Sr3Mn
Source: the Alexandria database
Functional: PBEsol
Structure: relaxed

energy of formation from the pure elements: 0.55 eV/atom

Lattice parameters (Å, degrees): 8.4576 8.4576 8.4576 90.00 90.00 90.00
Space group Fm-3m (No. 225)
One atom of each set of equivalent atoms:
Sr 0.0000 0.0000 0.0000
Sr 0.2500 0.2500 0.2500
Mn 0.0000 0.0000 0.5000

***

Entry 8:
Compound: YMg2
Source: the Alexandria database
Functional: PBEsol
Structure: relaxed

energy of formation from the pure elements: 0.58 eV/atom

Lattice parameters (Å, degrees): 7.2452 7.2452 7.2452 90.00 90.00 90.00
Space group Fm-3m (No. 225)
One atom of each set of equivalent atoms:
Y 0.0000 0.0000 0.0000
Mg 0.2500 0.2500 0.2500

***

Entry 9:
Compound: TaAlRh2
Source: the Alexandria database
Functional: PBEsol
Structure: relaxed

energy of formation from the pure elements: -0.61 eV/atom

Lattice parameters (Å, degrees): 3.7233 3.7233 8.4058 90.00 90.00 90.00
Space group I-4m2 (No. 119)
One atom of each set of equivalent atoms:
Ta 0.0000 0.0000 0.0000
Al 0.0000 0.5000 0.2500
Rh 0.0000 0.0000 0.5000
Rh 0.0000 0.5000 0.7500

***

Entry 10:
Compound: Ta2AsRu
Source: the Alexandria database
Functional: PBEsol
Structure: relaxed

energy of formation from the pure elements: -0.09 eV/atom

Lattice parameters (Å, degrees): 2.9062 2.9062 7.5144 90.00 90.00 90.00
Space group P4mm (No. 99)
One atom of each set of equivalent atoms:
Ta 0.0000 0.0000 0.0000
Ta 0.5000 0.5000 0.2973
As 0.0000 0.0000 0.5525
Ru 0.5000 0.5000 0.7417

***

Entry 11:
Compound: YI2O2
Source: the Alexandria database
Functional: PBEsol
Structure: relaxed

raw formation energy: -0.199 eV per atom
ΔE to the lowest computed polymorph: 0.000 eV/atom

Lattice parameters (Å, degrees): 4.1832 4.1832 6.6341 90.00 90.00 90.00
Space group P4/mmm (No. 123)
One atom of each set of equivalent atoms:
Y 0.0000 0.0000 0.0000
I 0.5000 0.5000 0.0000
I 0.5000 0.5000 0.5000
O 0.0000 0.5000 0.5000